The following is a PBE calculation of a relaxed Hf7Al2As2 crystal, from Alexandria via LeMat-Bulk.

Lattice parameters (Å, degrees): 3.469 8.793 8.793 58.92 78.62 78.62
Atoms (fractional coordinates):
1 Hf 0.826 0.057 0.291
2 Hf 0.845 0.437 0.872
3 Hf 0.500 0.028 0.972
4 Hf 0.619 0.482 0.280
5 Hf 0.381 0.720 0.518
6 Hf 0.174 0.709 0.943
7 Hf 0.155 0.128 0.563
8 Al 0.000 0.764 0.236
9 Al 0.500 0.352 0.648
10 As 0.742 0.846 0.670
11 As 0.258 0.330 0.154

## Properties
V ... 224 Å³ per cell
D(E_F) ... 10.3 states/eV/cell
Magnetization ... 0.00 μB/atom
Calculated formation energy ... -0.44 eV per atom